The following is a PBE+U calculation of an optimized crystal structure of MnOF, from the Alexandria database.

- calculated density (g/cm3) = 4.50
- electronic total energy (eV/atom) = -6.535

Cell lengths 4.609, 5.610, 10.283 Å; angles 89.67, 88.82, 87.83 degrees
Fractional coordinates of all 24 atoms:
Mn (0.000, 0.000, 0.000)
Mn (0.005, 0.303, 0.237)
Mn (0.435, 0.785, 0.750)
Mn (0.451, 0.528, 0.494)
Mn (0.492, 0.499, 0.001)
Mn (0.506, 0.803, 0.255)
Mn (0.927, 0.283, 0.744)
Mn (0.953, 0.974, 0.492)
O (0.149, 0.021, 0.661)
O (0.245, 0.757, 0.920)
O (0.260, 0.779, 0.405)
O (0.289, 0.542, 0.170)
O (0.656, 0.752, 0.587)
O (0.680, 0.525, 0.828)
O (0.773, 0.033, 0.324)
O (0.796, 0.272, 0.081)
F (0.175, 0.511, 0.660)
F (0.211, 0.289, 0.406)
F (0.217, 0.244, 0.906)
F (0.269, 0.048, 0.161)
F (0.691, 0.259, 0.568)
F (0.719, 0.038, 0.839)
F (0.746, 0.778, 0.091)
F (0.752, 0.540, 0.330)